1.
Sr2YZrPb: relaxed, PBE.

extended XYZ file:
```
5
Lattice="5.949 0.000 0.000 0.000 5.949 0.000 0.000 0.000 5.706" Properties=species:S:1:pos:R:3 pbc="T T T"
Sr 0.000 2.975 0.000
Sr 2.975 0.000 0.000
Y 0.000 0.000 2.853
Zr 2.975 2.975 0.000
Pb 2.975 2.975 2.853
```

Output
ΔH_f (0 K)   3.39 eV per formula unit
N(E_F)   5.56 states/eV/cell
E_tot   -0.1374 Ha/atom


2.
Sr2ZnPb: relaxed, PBE.

extended XYZ file:
```
4
Lattice="-2.463 2.463 5.427 2.463 -2.463 5.427 2.463 2.463 -5.427" Properties=species:S:1:pos:R:3 pbc="T T T"
Sr 0.000 0.000 0.000
Sr 0.000 2.463 2.713
Zn 2.463 0.000 2.713
Pb 0.000 0.000 5.427
```

Output
ΔH_f (0 K)   -0.85 eV per formula unit
N(E_F)   2.42 states/eV/cell
E_tot   -0.0844 Ha/atom


3.
Sr2ZnPb: relaxed, PBE.

extended XYZ file:
```
4
Lattice="4.018 0.000 0.000 0.000 5.537 0.000 0.000 0.000 6.725" Properties=species:S:1:pos:R:3 pbc="T T T"
Sr 0.000 0.000 0.000
Sr 2.009 2.768 3.210
Zn 0.000 0.000 3.381
Pb 2.009 2.768 6.558
```

Output
ΔH_f (0 K)   -0.74 eV per formula unit
N(E_F)   2.89 states/eV/cell
E_tot   -0.0835 Ha/atom


4.
Sr6Zn2Pb: relaxed, PBE.

extended XYZ file:
```
18
Lattice="-5.389 5.608 5.753 5.389 -5.608 5.753 5.389 5.608 -5.753" Properties=species:S:1:pos:R:3 pbc="T T T"
Sr 5.389 3.437 -2.887
Sr 2.943 2.008 0.000
Sr 7.836 2.008 0.000
Sr 2.124 5.608 -1.951
Sr 3.265 0.000 3.802
Sr 0.000 2.170 2.866
Sr 5.389 3.437 2.887
Sr 2.124 5.608 1.951
Sr 3.265 0.000 7.704
Sr -2.447 3.600 5.753
Sr 2.447 3.600 5.753
Sr 0.000 2.170 8.640
Zn 5.389 0.000 1.281
Zn 0.000 3.814 0.000
Zn 0.000 7.401 0.000
Zn 0.000 5.608 4.472
Pb 0.000 0.000 0.000
Pb 0.000 0.000 5.753
```

Output
ΔH_f (0 K)   -2.25 eV per formula unit
N(E_F)   13.55 states/eV/cell
E_tot   -0.0759 Ha/atom


Q: Which of these has the highest ΔH_f (0 K)?
A: Sr2YZrPb


Q: Which of these has the lowest ΔH_f (0 K)?
A: Sr6Zn2Pb